Sm5Tl2Ga2 | PBE | relaxed

Results
The formation energy is -432 meV/atom. As for the total magnetic moment: 0.00 μB per formula unit.

Unit cell a=16.488 b=7.965 c=7.852 alpha=90.00 beta=90.00 gamma=90.00
Space group Cmce (No. 64)
One atom of each set of equivalent atoms:
Sm1 0.000 0.000 0.000 [4 per cell]
Sm2 0.130 0.188 0.322 [16 per cell]
Tl1 0.221 0.000 0.000 [8 per cell]
Ga1 0.000 0.115 0.617 [8 per cell]